Entry i
First-principles (PBE) data for a geometry-optimized CePaB structure, as listed in Alexandria.

Values from the calculation:
**V**: 19.05 Å³ per atom
**Size of the total moment**: 0.0 μB/f.u.
**Space-group type**: P3m1

Structure (extended XYZ):
```
3
Lattice="3.976 0.000 0.000 0.000 4.075 0.000 0.000 -2.037 3.529" Properties=species:S:1:pos:R:3 pbc="T T T"
B 0.081 0.000 0.000
Pa 1.164 2.037 1.176
Ce 2.731 0.000 2.352
```

---

Entry ii
First-principles (PBE) data for a geometry-optimized CePaB structure, as listed in Alexandria.

Values from the calculation:
**V**: 18.70 Å³ per atom
**Size of the total moment**: 0.0 μB/f.u.
**Space-group type**: Cmcm

Structure (extended XYZ):
```
6
Lattice="-1.289 0.503 -2.862 2.250 -2.879 -1.519 -5.260 -7.395 1.067" Properties=species:S:1:pos:R:3 pbc="T T T"
B -0.137 -1.337 -2.822
B -4.161 -8.433 -0.493
Ce -2.014 -6.430 -1.107
Ce -2.284 -3.340 -2.208
Pa -5.229 -6.087 -1.365
Pa 0.931 -3.683 -1.950
```

---

Entry iii
First-principles (PBE) data for a geometry-optimized CePaB structure, as listed in Alexandria.

Values from the calculation:
**V**: 20.23 Å³ per atom
**Size of the total moment**: 0.0 μB/f.u.
**Space-group type**: I4mm

Structure (extended XYZ):
```
3
Lattice="-0.623 -2.795 1.533 -1.416 -1.157 -2.684 6.078 -0.120 -1.189" Properties=species:S:1:pos:R:3 pbc="T T T"
Pa 1.157 -2.878 -1.335
Ce 3.638 -3.905 -2.200
B 3.284 -1.360 -1.145
```

---

Quick one: most stable of them? entry ii

---

Entry i
First-principles (PBE) data for a geometry-optimized CeBPt4 structure, as listed in Alexandria.

Values from the calculation:
**V**: 16.42 Å³ per atom
**Size of the total moment**: 0.1 μB/f.u.
**Space-group type**: Pmma

Structure (extended XYZ):
```
12
Lattice="-2.736 0.926 -2.606 0.420 -6.138 -2.620 -5.365 -2.406 4.777" Properties=species:S:1:pos:R:3 pbc="T T T"
Pt -1.398 -3.926 -2.830
Pt -6.283 -3.692 2.380
Pt -4.993 -7.165 -0.207
Pt 0.000 0.000 0.000
Pt -3.439 -4.841 -1.012
Pt -2.682 -1.203 2.388
Pt -4.242 -2.777 0.563
Pt -2.688 -0.453 -0.243
Ce -3.773 -5.469 2.018
Ce -1.172 -3.074 0.139
B -0.985 -5.818 -1.033
B -3.961 -2.726 3.189
```

---

Entry ii
First-principles (PBE) data for a geometry-optimized CeBPt4 structure, as listed in Alexandria.

Values from the calculation:
**V**: 16.72 Å³ per atom
**Size of the total moment**: 0.6 μB/f.u.
**Space-group type**: P6/mmm

Structure (extended XYZ):
```
12
Lattice="5.472 0.000 0.000 -2.736 4.739 0.000 0.000 0.000 7.739" Properties=species:S:1:pos:R:3 pbc="T T T"
Pt -1.368 2.369 5.418
Pt 0.000 3.159 0.000
Pt 2.736 1.580 0.000
Pt 2.736 0.000 2.321
Pt 1.368 2.369 2.321
Pt -1.368 2.369 2.321
Pt 1.368 2.369 5.418
Pt 2.736 0.000 5.418
B 2.736 1.580 3.870
B 0.000 3.159 3.870
Ce 0.000 0.000 0.000
Ce 0.000 0.000 3.870
```

---

Quick one: most stable of them? entry ii

---

Entry i
First-principles (PBE) data for a geometry-optimized CePuB4 structure, as listed in Alexandria.

Values from the calculation:
**V**: 12.36 Å³ per atom
**Size of the total moment**: 5.0 μB/f.u.
**Space-group type**: F-43m

Structure (extended XYZ):
```
6
Lattice="4.716 0.000 0.000 2.358 4.084 0.000 2.358 1.361 3.851" Properties=species:S:1:pos:R:3 pbc="T T T"
Pu 0.000 0.000 0.000
B 4.716 2.723 0.107
B 6.201 3.580 2.532
B 3.232 3.580 2.532
B 4.716 1.009 2.532
Ce 2.358 1.361 0.963
```

---

Entry ii
First-principles (PBE) data for a geometry-optimized CePuB4 structure, as listed in Alexandria.

Values from the calculation:
**V**: 12.20 Å³ per atom
**Size of the total moment**: 4.9 μB/f.u.
**Space-group type**: Pbam

Structure (extended XYZ):
```
24
Lattice="-3.214 -2.450 0.771 2.029 -3.965 -4.142 6.173 -5.493 8.283" Properties=species:S:1:pos:R:3 pbc="T T T"
B 2.945 -7.170 0.470
B 5.514 -8.906 5.667
B 2.050 -5.279 2.750
B -0.526 -3.002 -0.755
B 2.044 -4.738 4.442
B 2.746 -5.165 6.012
B 2.243 -6.743 -1.099
B 4.072 -7.806 3.147
B 0.547 -4.154 0.058
B 2.938 -6.629 2.162
B 1.157 -5.395 -1.345
B 0.340 -4.837 -2.976
B 4.441 -7.754 4.855
B 3.831 -6.512 6.257
B 0.916 -4.102 1.765
B 4.648 -7.071 7.889
Ce 3.391 -4.358 0.289
Ce 4.811 -5.099 3.853
Ce 7.002 -8.129 3.361
Ce 1.200 -1.329 0.781
Pu 2.826 -2.800 2.885
Pu 1.811 -2.977 -1.909
Pu 5.376 -6.657 1.257
Pu 6.391 -6.481 6.051
```

---

Quick one: most stable of them? entry ii

---

Entry i
First-principles (PBE) data for a geometry-optimized CeBRh structure, as listed in Alexandria.

Values from the calculation:
**V**: 16.89 Å³ per atom
**Size of the total moment**: 0.5 μB/f.u.
**Space-group type**: P-6m2

Structure (extended XYZ):
```
3
Lattice="-4.030 -0.588 0.594 0.654 -0.830 3.620 -0.671 3.566 -1.025" Properties=species:S:1:pos:R:3 pbc="T T T"
B -0.459 0.537 2.170
Ce -2.916 1.709 0.919
Rh -0.672 -0.098 0.099
```

---

Entry ii
First-principles (PBE) data for a geometry-optimized CeBRh structure, as listed in Alexandria.

Values from the calculation:
**V**: 14.99 Å³ per atom
**Size of the total moment**: 0.0 μB/f.u.
**Space-group type**: I4mm

Structure (extended XYZ):
```
3
Lattice="2.882 0.000 0.000 0.000 2.882 0.000 -1.441 -1.441 5.414" Properties=species:S:1:pos:R:3 pbc="T T T"
Rh 0.000 0.000 3.082
B 1.441 1.441 2.215
Ce 0.000 0.000 0.117
```

---

Quick one: most stable of them? entry i

---

Entry i
First-principles (PBE) data for a geometry-optimized CeBRu structure, as listed in Alexandria.

Values from the calculation:
**V**: 16.86 Å³ per atom
**Size of the total moment**: 0.8 μB/f.u.
**Space-group type**: P-6m2

Structure (extended XYZ):
```
3
Lattice="-1.016 3.321 1.267 -2.027 -1.690 -2.589 -2.331 -1.877 3.051" Properties=species:S:1:pos:R:3 pbc="T T T"
Ce 0.000 0.000 0.000
B -2.518 0.712 1.507
Ru -2.855 -0.958 0.222
```

---

Entry ii
First-principles (PBE) data for a geometry-optimized CeBRu structure, as listed in Alexandria.

Values from the calculation:
**V**: 19.78 Å³ per atom
**Size of the total moment**: 0.0 μB/f.u.
**Space-group type**: Immm

Structure (extended XYZ):
```
6
Lattice="8.709 0.000 0.000 0.000 3.252 0.000 -4.354 -1.626 4.192" Properties=species:S:1:pos:R:3 pbc="T T T"
B 0.000 1.626 0.796
B 4.354 0.000 3.395
Ce 6.147 1.626 0.000
Ce 2.562 1.626 0.000
Ru 4.354 0.000 1.439
Ru 0.000 1.626 2.752
```

---

Quick one: most stable of them? entry i

---

Entry i
First-principles (PBE) data for a geometry-optimized CeB2Ru structure, as listed in Alexandria.

Values from the calculation:
**V**: 12.89 Å³ per atom
**Size of the total moment**: 0.0 μB/f.u.
**Space-group type**: Pnma

Structure (extended XYZ):
```
16
Lattice="-3.793 3.515 1.487 -1.506 -3.541 4.532 4.273 3.014 3.775" Properties=species:S:1:pos:R:3 pbc="T T T"
Ce -0.050 4.606 3.588
Ce -1.041 -0.424 3.216
Ce -0.975 -1.617 6.205
Ce 0.016 3.413 6.577
Ru 0.927 0.487 6.082
Ru -3.282 0.324 5.467
Ru 2.257 2.664 4.326
Ru -1.952 2.502 3.711
B 1.392 0.599 3.875
B 1.232 1.236 8.218
B -3.476 2.882 2.052
B -1.198 1.260 5.441
B 0.173 1.729 4.352
B 2.451 0.106 7.741
B -2.257 1.753 1.575
B -2.417 2.390 5.918
```

---

Entry ii
First-principles (PBE) data for a geometry-optimized CeB2Ru structure, as listed in Alexandria.

Values from the calculation:
**V**: 13.95 Å³ per atom
**Size of the total moment**: 0.0 μB/f.u.
**Space-group type**: R-3m

Structure (extended XYZ):
```
4
Lattice="3.698 0.000 0.000 1.849 3.203 0.000 1.849 1.068 4.712" Properties=species:S:1:pos:R:3 pbc="T T T"
Ce 3.698 2.135 2.356
Ru 0.000 0.000 0.000
B 5.547 3.203 4.221
B 1.849 1.068 0.491
```

---

Quick one: most stable of them? entry i

---

Entry i
First-principles (PBE) data for a geometry-optimized CeBS2 structure, as listed in Alexandria.

Values from the calculation:
**V**: 18.40 Å³ per atom
**Size of the total moment**: 0.6 μB/f.u.
**Space-group type**: Cm

Structure (extended XYZ):
```
4
Lattice="-2.210 2.372 1.137 -4.244 -2.134 1.392 4.150 -0.225 3.346" Properties=species:S:1:pos:R:3 pbc="T T T"
S -2.101 -0.039 4.479
S -0.385 0.393 1.721
B 3.096 0.367 3.353
Ce -3.249 0.294 1.552
```

---

Entry ii
First-principles (PBE) data for a geometry-optimized CeBS2 structure, as listed in Alexandria.

Values from the calculation:
**V**: 16.67 Å³ per atom
**Size of the total moment**: 0.1 μB/f.u.
**Space-group type**: R-3m

Structure (extended XYZ):
```
4
Lattice="3.097 0.000 0.000 1.548 2.682 0.000 1.548 0.894 8.026" Properties=species:S:1:pos:R:3 pbc="T T T"
S 1.548 0.894 5.209
S 4.645 2.682 2.817
B 3.097 1.788 4.013
Ce 0.000 0.000 0.000
```

---

Quick one: most stable of them? entry i

---

Entry i
First-principles (PBE) data for a geometry-optimized CeTcB structure, as listed in Alexandria.

Values from the calculation:
**V**: 16.94 Å³ per atom
**Size of the total moment**: 0.1 μB/f.u.
**Space-group type**: P-6m2

Structure (extended XYZ):
```
3
Lattice="4.126 0.000 0.000 0.000 3.771 0.000 0.000 -1.886 3.266" Properties=species:S:1:pos:R:3 pbc="T T T"
Ce 2.750 1.886 1.089
B 0.688 0.000 0.000
Tc 0.688 0.000 2.177
```

---

Entry ii
First-principles (PBE) data for a geometry-optimized CeTcB structure, as listed in Alexandria.

Values from the calculation:
**V**: 19.59 Å³ per atom
**Size of the total moment**: 1.5 μB/f.u.
**Space-group type**: C2/m

Structure (extended XYZ):
```
6
Lattice="3.990 -0.001 0.054 1.993 3.456 0.054 1.870 1.080 8.558" Properties=species:S:1:pos:R:3 pbc="T T T"
Ce 2.902 1.676 5.959
Ce 4.950 2.859 2.706
Tc 6.861 3.962 8.286
Tc 0.992 0.573 0.380
B 4.873 2.814 7.691
B 2.980 1.721 0.974
```

---

Quick one: most stable of them? entry i

---

Entry i
First-principles (PBE) data for a geometry-optimized CeTcB4 structure, as listed in Alexandria.

Values from the calculation:
**V**: 10.68 Å³ per atom
**Size of the total moment**: 0.0 μB/f.u.
**Space-group type**: Pbam

Structure (extended XYZ):
```
24
Lattice="3.676 0.000 0.000 0.000 6.000 0.000 0.000 0.000 11.621" Properties=species:S:1:pos:R:3 pbc="T T T"
Tc 0.000 2.183 10.563
Tc 0.000 5.183 6.868
Tc 0.000 0.817 4.753
Tc 0.000 3.817 1.057
B 1.838 0.827 11.254
B 1.838 1.713 3.662
B 1.838 0.145 8.026
B 1.838 2.173 5.444
B 1.838 3.146 9.405
B 1.838 5.855 3.594
B 1.838 5.330 5.275
B 1.838 0.670 6.346
B 1.838 3.670 11.085
B 1.838 2.855 2.216
B 1.838 5.173 0.366
B 1.838 4.287 7.959
B 1.838 4.713 2.149
B 1.838 1.287 9.472
B 1.838 2.330 0.535
B 1.838 3.827 6.177
Ce 0.000 0.761 1.747
Ce 0.000 2.239 7.557
Ce 0.000 5.239 9.874
Ce 0.000 3.761 4.064
```

---

Entry ii
First-principles (PBE) data for a geometry-optimized CeTcB4 structure, as listed in Alexandria.

Values from the calculation:
**V**: 10.58 Å³ per atom
**Size of the total moment**: 0.0 μB/f.u.
**Space-group type**: Immm

Structure (extended XYZ):
```
6
Lattice="3.137 0.000 0.000 1.569 4.626 0.086 1.569 1.435 4.399" Properties=species:S:1:pos:R:3 pbc="T T T"
B 4.706 4.000 4.072
B 4.706 5.063 2.634
B 1.569 0.998 1.850
B 1.569 2.061 0.413
Tc 3.137 3.031 2.242
Ce 0.000 0.000 0.000
```

---

Quick one: most stable of them? entry i

---

Entry i
First-principles (PBE) data for a geometry-optimized BCl3 structure, as listed in Alexandria.

Values from the calculation:
**V**: 34.80 Å³ per atom
**Size of the total moment**: 0.0 μB/f.u.
**Space-group type**: P6_3/m

Structure (extended XYZ):
```
8
Lattice="-4.805 -2.673 3.430 6.069 -0.142 2.269 -1.174 6.676 3.558" Properties=species:S:1:pos:R:3 pbc="T T T"
Cl 1.762 1.430 2.017
Cl 0.890 -0.049 4.504
Cl -0.801 3.911 4.752
Cl -1.672 2.432 7.240
Cl 3.800 0.670 4.115
Cl -3.710 3.192 5.142
B -2.061 3.178 5.711
B 2.151 0.684 3.545
```

---

Entry ii
First-principles (PBE) data for a geometry-optimized BCl3 structure, as listed in Alexandria.

Values from the calculation:
**V**: 18.65 Å³ per atom
**Size of the total moment**: 0.0 μB/f.u.
**Space-group type**: I-42d

Structure (extended XYZ):
```
8
Lattice="6.155 0.000 0.000 0.000 6.155 0.000 3.078 3.078 3.938" Properties=species:S:1:pos:R:3 pbc="T T T"
Cl 4.616 5.480 2.954
Cl 7.694 6.831 2.954
Cl 6.155 3.078 1.969
Cl 0.000 0.000 0.000
Cl 3.753 1.539 0.985
Cl 2.402 4.616 0.985
B 3.078 6.155 1.969
B 3.078 3.078 0.000
```

---

Entry iii
First-principles (PBE) data for a geometry-optimized BCl3 structure, as listed in Alexandria.

Values from the calculation:
**V**: 19.87 Å³ per atom
**Size of the total moment**: 0.0 μB/f.u.
**Space-group type**: R-3m

Structure (extended XYZ):
```
4
Lattice="1.803 0.000 9.410 -0.902 1.561 9.410 -0.902 -1.561 9.410" Properties=species:S:1:pos:R:3 pbc="T T T"
Cl 0.000 0.000 0.000
Cl 0.000 0.000 3.450
Cl 0.000 0.000 24.779
B 0.000 0.000 14.115
```

---

Quick one: most stable of them? entry i

---

Entry i
First-principles (PBE) data for a geometry-optimized BCl3 structure, as listed in Alexandria.

Values from the calculation:
**V**: 38.75 Å³ per atom
**Size of the total moment**: 0.0 μB/f.u.
**Space-group type**: Cmcm

Structure (extended XYZ):
```
8
Lattice="-2.023 3.358 5.770 -4.125 -5.419 1.708 6.568 -0.282 2.466" Properties=species:S:1:pos:R:3 pbc="T T T"
Cl 2.414 -2.584 4.459
Cl -3.853 -2.041 6.163
Cl 1.427 -0.280 2.772
Cl -1.006 -2.062 7.173
Cl 4.273 -0.301 3.782
Cl -1.994 0.242 5.486
B -2.283 -1.287 6.274
B 2.704 -1.056 3.671
```

---

Entry ii
First-principles (PBE) data for a geometry-optimized BCl3 structure, as listed in Alexandria.

Values from the calculation:
**V**: 35.49 Å³ per atom
**Size of the total moment**: 0.0 μB/f.u.
**Space-group type**: R-3m

Structure (extended XYZ):
```
4
Lattice="-4.368 0.403 5.332 -1.139 -3.549 5.813 0.481 1.217 6.780" Properties=species:S:1:pos:R:3 pbc="T T T"
B 0.000 0.000 0.000
Cl -2.513 -0.964 8.962
Cl -4.594 -1.763 16.385
Cl -0.432 -0.166 1.540
```

---

Entry iii
First-principles (PBE) data for a geometry-optimized BCl3 structure, as listed in Alexandria.

Values from the calculation:
**V**: 20.21 Å³ per atom
**Size of the total moment**: 2.0 μB/f.u.
**Space-group type**: Fm-3m

Structure (extended XYZ):
```
4
Lattice="0.000 3.432 3.432 3.432 0.000 3.432 3.432 3.432 0.000" Properties=species:S:1:pos:R:3 pbc="T T T"
Cl 3.432 3.432 3.432
Cl 5.147 5.147 5.147
Cl 1.716 1.716 1.716
B 0.000 0.000 0.000
```

---

Entry iv
First-principles (PBE) data for a geometry-optimized BCl3 structure, as listed in Alexandria.

Values from the calculation:
**V**: 26.32 Å³ per atom
**Size of the total moment**: 0.0 μB/f.u.
**Space-group type**: Imm2

Structure (extended XYZ):
```
4
Lattice="-0.534 1.387 2.479 1.464 -5.549 3.421 4.758 3.621 -2.687" Properties=species:S:1:pos:R:3 pbc="T T T"
Cl 0.150 -0.886 2.213
Cl 4.493 -1.188 1.633
Cl 0.962 1.533 1.034
B 0.061 -0.229 0.141
```

---

Quick one: most stable of them? entry i